(1)
# Li2BrCl, relaxed, DFT PBE-GGA
data_Li2BrCl
_symmetry_space_group_name_H-M 'P 1'
_symmetry_Int_Tables_number 1
_cell_length_a 3.562
_cell_length_b 3.604
_cell_length_c 8.331
_cell_angle_alpha 90.00
_cell_angle_beta 90.00
_cell_angle_gamma 90.00
loop_
_symmetry_equiv_pos_as_xyz
'x,y,z'
loop_
_atom_site_label
_atom_site_type_symbol
_atom_site_fract_x
_atom_site_fract_y
_atom_site_fract_z
_atom_site_occupancy
Li1 Li 0.000 0.000 0.000 1
Li2 Li 0.000 0.500 0.500 1
Br1 Br 0.500 0.000 0.500 1
Cl1 Cl 0.500 0.500 0.000 1
# Energy relative to the lowest polymorph listed for this composition, meV per atom: 137.4
# Formation energy from raw total energies, meV per atom: -1544

---

(2)
# TlFeW4, relaxed, DFT PBE-GGA
data_TlFeW4
_symmetry_space_group_name_H-M 'P 1'
_symmetry_Int_Tables_number 1
_cell_length_a 5.333
_cell_length_b 5.333
_cell_length_c 5.333
_cell_angle_alpha 60.00
_cell_angle_beta 60.00
_cell_angle_gamma 60.00
loop_
_symmetry_equiv_pos_as_xyz
'x,y,z'
loop_
_atom_site_label
_atom_site_type_symbol
_atom_site_fract_x
_atom_site_fract_y
_atom_site_fract_z
_atom_site_occupancy
Tl1 Tl 0.000 0.000 0.000 1
Fe1 Fe 0.250 0.250 0.250 1
W1 W 0.126 0.625 0.625 1
W2 W 0.625 0.126 0.625 1
W3 W 0.625 0.625 0.126 1
W4 W 0.625 0.625 0.625 1
# Total energy, eV per atom: -9.59

---

(3)
# PmGdRuPb, relaxed, DFT PBE-GGA
data_PmGdRuPb
_symmetry_space_group_name_H-M 'P 1'
_symmetry_Int_Tables_number 1
_cell_length_a 5.210
_cell_length_b 5.210
_cell_length_c 5.210
_cell_angle_alpha 60.00
_cell_angle_beta 60.00
_cell_angle_gamma 60.00
loop_
_symmetry_equiv_pos_as_xyz
'x,y,z'
loop_
_atom_site_label
_atom_site_type_symbol
_atom_site_fract_x
_atom_site_fract_y
_atom_site_fract_z
_atom_site_occupancy
Pm1 Pm 0.000 0.000 0.000 1
Gd1 Gd 0.500 0.500 0.500 1
Ru1 Ru 0.750 0.750 0.750 1
Pb1 Pb 0.250 0.250 0.250 1
# Total energy, eV per atom: -8.17